Entry from the Alexandria database: a relaxed structure of LaReNi2 (PBE).

Cell: 2.8794 4.7431 4.7431 Å, 90.00 90.00 90.00°
Each line ends with the local moment (μB).
Atoms (fractional coordinates):
Re  0.5000  0.5000  0.0000  0.65
Ni  0.0000  0.5000  0.5000  0.24
La  0.5000  0.0000  0.5000  0.00
Ni  0.0000  0.0000  0.0000  0.24

The space group is P4/mmm (123). The value obtained for the calculated formation energy is 324 meV per atom. The value obtained for the total energy is -27.6 eV per cell. The calculation puts the total magnetization at 1.23 μB per formula unit.